Entry 1:
VASP calculation (PBE) on an optimized crystal structure of Mn2TlGaS.

Total energy = -0.1779 hartree per atom
Space group = P4/mmm (123)

a b c (Å): 5.1238 6.9527 5.1238
angles (deg): 90.00 90.00 90.00
Each line ends with the local moment (μB).
Positions (direct):
Ga  0.5000  0.5000  0.5000  0.07
Tl  0.0000  0.5000  0.0000  0.01
Mn  0.0000  0.0000  0.5000  -4.21
Mn  0.5000  0.0000  0.0000  -4.12
S  0.0000  0.0000  0.0000  0.01


Entry 2:
VASP calculation (PBE) on an optimized crystal structure of Re4Pb3.

Energy of formation = 1947 meV/atom
E above lowest polymorph = 1446 meV/atom
Space group = P6/mmm (191)

a b c (Å): 5.9585 5.9585 4.7377
angles (deg): 90.00 90.00 120.00
Positions (direct):
Pb  0.5000  0.0000  0.0000
Pb  0.5000  0.5000  0.0000
Pb  0.0000  0.5000  0.0000
Re  0.6667  0.3333  0.5000
Re  0.0000  0.0000  0.2441
Re  0.0000  0.0000  0.7559
Re  0.3333  0.6667  0.5000


Entry 3:
VASP calculation (PBE) on an optimized crystal structure of ZnAs2.

Energy of formation = 19 meV/atom
Space group = P2_1/c (14)

a b c (Å): 6.4800 6.6241 7.0114
angles (deg): 127.00 90.00 90.00
Positions (direct):
Zn  0.4757  0.2177  0.7564
Zn  0.5243  0.7823  0.2436
Zn  0.9757  0.7823  0.7436
Zn  0.0243  0.2177  0.2564
As  0.8756  0.6257  0.2802
As  0.3569  0.7904  0.6505
As  0.8569  0.2096  0.8495
As  0.3756  0.3743  0.2198
As  0.6431  0.2096  0.3495
As  0.6244  0.6257  0.7802
As  0.1244  0.3743  0.7198
As  0.1431  0.7904  0.1505